[1]
# TlTe2Ir

A relaxed TlTe2Ir crystal (PBE, the Alexandria database). Values from VASP.

Quantum ESPRESSO input file:
```
&SYSTEM
  ibrav = 0, nat = 4, ntyp = 3
/
ATOMIC_SPECIES
Te 127.60 Te.upf
Ir 192.22 Ir.upf
Tl 204.38 Tl.upf
CELL_PARAMETERS angstrom
8.617 -0.090 -0.054
7.802 3.659 -0.054
7.802 1.696 3.243
ATOMIC_POSITIONS angstrom
Te 5.866 1.275 0.759
Ir 18.027 3.919 2.334
Tl 11.854 2.577 1.535
Te 0.585 0.127 0.076
```

Output
E_form (uncorrected) = 0.128 eV/atom
Offset from the most stable computed form = 0.353 eV per atom


[2]
# Si2W2C

A relaxed Si2W2C crystal (PBE, the Alexandria database). Values from VASP.

Quantum ESPRESSO input file:
```
&SYSTEM
  ibrav = 0, nat = 5, ntyp = 3
/
ATOMIC_SPECIES
W 183.84 W.upf
C 12.01 C.upf
Si 28.09 Si.upf
CELL_PARAMETERS angstrom
-1.491 0.767 3.328
1.174 -3.296 1.285
4.841 1.171 3.985
ATOMIC_POSITIONS angstrom
W 2.928 -1.695 3.789
W 1.596 0.337 4.810
C 0.000 0.000 0.000
Si 0.803 -0.796 2.630
Si 3.720 -0.562 5.969
```

Output
E_form (uncorrected) = 1.548 eV/atom
Offset from the most stable computed form = 0.501 eV per atom


[3]
# Si2GeAsAu

A relaxed Si2GeAsAu crystal (PBE, the Alexandria database). Values from VASP.

Quantum ESPRESSO input file:
```
&SYSTEM
  ibrav = 0, nat = 5, ntyp = 4
/
ATOMIC_SPECIES
Au 196.97 Au.upf
As 74.92 As.upf
Si 28.09 Si.upf
Ge 72.64 Ge.upf
CELL_PARAMETERS angstrom
4.705 0.000 0.000
0.000 4.953 0.000
0.000 0.000 4.705
ATOMIC_POSITIONS angstrom
Au 2.353 2.476 2.353
As 0.000 2.476 0.000
Si 0.000 0.000 2.353
Ge 0.000 0.000 0.000
Si 2.353 0.000 0.000
```

Output
E_form (uncorrected) = 0.984 eV/atom


[4]
# Ta2CdHg

A relaxed Ta2CdHg crystal (PBE, the Alexandria database). Values from VASP.

Quantum ESPRESSO input file:
```
&SYSTEM
  ibrav = 0, nat = 8, ntyp = 3
/
ATOMIC_SPECIES
Hg 200.59 Hg.upf
Ta 180.95 Ta.upf
Cd 112.41 Cd.upf
CELL_PARAMETERS angstrom
7.711 0.000 0.000
0.000 7.711 0.000
3.856 3.856 2.803
ATOMIC_POSITIONS angstrom
Hg 7.711 3.856 1.401
Ta 1.894 5.783 0.701
Hg 0.000 0.000 0.000
Ta 5.817 1.928 0.701
Ta 5.783 5.750 2.102
Cd 3.856 3.856 0.000
Ta 9.639 9.673 2.102
Cd 3.856 7.711 1.401
```

Output
Energy of formation = 3.45 eV/f.u.
Offset from the most stable computed form = 0.695 eV per atom


[5]
# Sc4Tl3Ni

A relaxed Sc4Tl3Ni crystal (PBE, the Alexandria database). Values from VASP.

Quantum ESPRESSO input file:
```
&SYSTEM
  ibrav = 0, nat = 8, ntyp = 3
/
ATOMIC_SPECIES
Tl 204.38 Tl.upf
Sc 44.96 Sc.upf
Ni 58.69 Ni.upf
CELL_PARAMETERS angstrom
-0.132 -3.052 -1.391
3.239 0.247 -0.847
3.988 -6.288 13.419
ATOMIC_POSITIONS angstrom
Tl 3.548 -4.547 5.590
Sc 1.456 -2.295 4.898
Ni 1.554 -1.403 -1.119
Tl 4.616 -6.231 9.184
Sc 2.533 -3.993 8.521
Tl 2.480 -2.863 1.996
Sc 3.604 -5.682 12.124
Sc 0.385 -0.607 1.295
```

Output
Energy of formation = -2.52 eV/f.u.


[6]
# Y2SnW

A relaxed Y2SnW crystal (PBE, the Alexandria database). Values from VASP.

Quantum ESPRESSO input file:
```
&SYSTEM
  ibrav = 0, nat = 8, ntyp = 3
/
ATOMIC_SPECIES
Y 88.91 Y.upf
W 183.84 W.upf
Sn 118.71 Sn.upf
CELL_PARAMETERS angstrom
-6.846 -4.292 1.600
-1.310 -0.923 -8.079
-2.474 -5.154 -3.209
ATOMIC_POSITIONS angstrom
Y -4.870 -5.790 -4.564
Y -9.036 -8.459 -8.348
W 0.000 0.000 0.000
Sn -4.078 -2.607 -3.240
Sn -3.931 -4.342 -7.264
Y -2.062 -2.257 -5.706
W -6.699 -6.026 -2.424
Y -5.292 -4.231 -0.758
```

Output
Energy of formation = 2.27 eV/f.u.


Question: Number 6 is which compound?
Answer: Y2SnW